1.
Material: Sr3LiP2S8
Method: DFT, PBE-GGA
State: relaxed

The value obtained for the formation energy from raw total energies is -24.66 kcal/mol of atoms.

Structure (CIF):
```
data_Sr3LiP2S8
_space_group_name_H-M_alt 'P -3 m 1'
_space_group_IT_number 164
_space_group_name_Hall '-P 3 2"'
_cell_length_a 6.6656
_cell_length_b 6.6656
_cell_length_c 8.4297
_cell_angle_alpha 90.00
_cell_angle_beta 90.00
_cell_angle_gamma 120.00
loop_
_atom_site_label
_atom_site_fract_x
_atom_site_fract_y
_atom_site_fract_z
Sr1 0.0000 0.0000 0.0000
Sr2 0.3333 0.6667 0.6261
Li1 0.0000 0.0000 0.5000
P1 0.3333 0.6667 0.2091
S1 0.1646 0.3291 0.3029
S2 0.3333 0.6667 0.9700
```



2.
Material: Dy4SnAs2Se
Method: DFT, PBE-GGA
State: relaxed

The value obtained for the formation energy from raw total energies is -31.98 kcal/mol of atoms.

Structure (CIF):
```
data_Dy4SnAs2Se
_space_group_name_H-M_alt 'P 1 2/m 1'
_space_group_IT_number 10
_cell_length_a 7.280
_cell_length_b 4.112
_cell_length_c 7.302
_cell_angle_alpha 90.00
_cell_angle_beta 108.83
_cell_angle_gamma 90.00
loop_
_space_group_symop_operation_xyz
'x,y,z'
'-x,-y,-z'
'-x,y,-z'
'x,-y,z'
loop_
_atom_site_label
_atom_site_fract_x
_atom_site_fract_y
_atom_site_fract_z
Dy1 0.240 0.000 0.235
Dy2 0.254 0.500 0.763
Sn1 0.500 0.500 0.500
As1 0.000 0.500 0.000
As2 0.500 0.000 0.000
Se1 0.000 0.000 0.500
```



3.
Material: Mn3ZnP
Method: DFT, PBE-GGA
State: relaxed

The value obtained for the distance to the lowest polymorph of the same formula is 0.00 eV per formula unit. Its formation energy from the elements is 247.3 meV per atom.

Structure (CIF):
```
data_Mn3ZnP
_space_group_name_H-M_alt 'P m -3 m'
_space_group_IT_number 221
_space_group_name_Hall '-P 4 2 3'
_cell_length_a 4.334
_cell_length_b 4.334
_cell_length_c 4.334
_cell_angle_alpha 90.00
_cell_angle_beta 90.00
_cell_angle_gamma 90.00
loop_
_atom_site_label
_atom_site_fract_x
_atom_site_fract_y
_atom_site_fract_z
Mn1 0.000 0.000 0.500
Zn1 0.500 0.500 0.500
P1 0.000 0.000 0.000
```



4.
Material: PuMg2PaN4
Method: DFT, PBE-GGA
State: relaxed

The value obtained for the formation energy from raw total energies is -25.88 kcal/mol of atoms.

Structure (CIF):
```
data_PuMg2PaN4
_space_group_name_H-M_alt 'P 1 2/m 1'
_space_group_IT_number 10
_cell_length_a 5.626
_cell_length_b 3.465
_cell_length_c 5.958
_cell_angle_alpha 90.00
_cell_angle_beta 110.99
_cell_angle_gamma 90.00
loop_
_space_group_symop_operation_xyz
'x,y,z'
'-x,-y,-z'
'-x,y,-z'
'x,-y,z'
loop_
_atom_site_label
_atom_site_fract_x
_atom_site_fract_y
_atom_site_fract_z
Pu1 0.000 0.000 0.000
Mg1 0.500 0.000 0.500
Mg2 0.500 0.500 0.000
Pa1 0.000 0.500 0.500
N1 0.239 0.500 0.253
N2 0.246 0.000 0.737
```



5.
Material: BaPaIn4
Method: DFT, PBE-GGA
State: relaxed

Its formation energy from the elements is -31.4 meV per atom.

Structure (CIF):
```
data_BaPaIn4
_space_group_name_H-M_alt 'F -4 3 m'
_space_group_IT_number 216
_space_group_name_Hall 'F -4 2 3'
_cell_length_a 8.770
_cell_length_b 8.770
_cell_length_c 8.770
_cell_angle_alpha 90.00
_cell_angle_beta 90.00
_cell_angle_gamma 90.00
loop_
_atom_site_label
_atom_site_fract_x
_atom_site_fract_y
_atom_site_fract_z
Ba1 0.000 0.000 0.000
Pa1 0.250 0.250 0.750
In1 0.124 0.124 0.376
```



6.
Material: K2YAg
Method: DFT, PBE-GGA
State: relaxed

The value obtained for the distance to the lowest polymorph of the same formula is 0.00 eV per formula unit. Its formation energy from the elements is 87.9 meV per atom.

Structure (CIF):
```
data_K2YAg
_space_group_name_H-M_alt 'P 4 m m'
_space_group_IT_number 99
_cell_length_a 3.877
_cell_length_b 3.877
_cell_length_c 10.961
_cell_angle_alpha 90.00
_cell_angle_beta 90.00
_cell_angle_gamma 90.00
loop_
_space_group_symop_operation_xyz
'x,y,z'
'-y,x,z'
'-x,-y,z'
'y,-x,z'
'-x,y,z'
'y,x,z'
'x,-y,z'
'-y,-x,z'
loop_
_atom_site_label
_atom_site_fract_x
_atom_site_fract_y
_atom_site_fract_z
K1 0.000 0.000 0.000
K2 0.500 0.500 0.366
Y1 0.000 0.000 0.659
Ag1 0.500 0.500 0.779
```



So what do the calculations give for theoretical density? Going down the list: 3.0, 8.0, 5.3, 8.9, 8.2, 2.8 g/cm³.
So what do the calculations give for total energy? Going down the list: -4.6976, -5.7863, -6.5912, -8.6619, -3.7602, -2.7897 eV/atom.